This record from Alexandria describes NdSm2Th6 after structural relaxation. The functional is GGA-PBE.

Computed properties:
The value obtained for the energy relative to the elements is 0.0978 eV/atom.

a b c (Å): 3.5560 3.5560 27.2591
angles (deg): 90.00 90.00 120.00
Sites, in units of the cell vectors:
Nd: 0.6667 0.3333 0.0000
Sm: 0.3333 0.6667 0.6701
Sm: 0.3333 0.6667 0.3299
Th: 0.3333 0.6667 0.1121
Th: 0.6667 0.3333 0.5607
Th: 0.6667 0.3333 0.2192
Th: 0.6667 0.3333 0.7808
Th: 0.6667 0.3333 0.4393
Th: 0.3333 0.6667 0.8879



This record from Alexandria describes RbNi2AgOs after structural relaxation. The functional is GGA-PBE.

Computed properties:
The value obtained for the energy relative to the elements is 2.7699 eV/atom.

a b c (Å): 4.5451 4.9597 4.5451
angles (deg): 90.00 90.00 90.00
Sites, in units of the cell vectors:
Ni: 0.0000 0.0000 0.5000
Ni: 0.5000 0.0000 0.0000
Os: 0.0000 0.5000 0.0000
Rb: 0.0000 0.0000 0.0000
Ag: 0.5000 0.5000 0.5000



This record from Alexandria describes SrSiP2O after structural relaxation. The functional is GGA-PBE.

Computed properties:
Its energy above the most stable polymorph in this dataset is 1653 meV per atom. The raw formation energy is 1015 meV per atom.

a b c (Å): 5.5861 5.5861 4.3315
angles (deg): 90.00 90.00 90.00
Sites, in units of the cell vectors:
Sr: 0.0000 0.0000 0.0000
Si: 0.5000 0.5000 0.5000
O: 0.0000 0.0000 0.5000
P: 0.0000 0.5000 0.0000
P: 0.5000 0.0000 0.0000



This record from Alexandria describes LiInCo2C after structural relaxation. The functional is GGA-PBE.

Computed properties:
The value obtained for the energy relative to the elements is -0.0222 eV/atom.

a b c (Å): 3.7568 3.7568 4.1096
angles (deg): 90.00 90.00 90.00
Sites, in units of the cell vectors:
C: 0.0000 0.0000 0.0000
Li: 0.0000 0.0000 0.5000
Co: 0.0000 0.5000 0.0000
Co: 0.5000 0.0000 0.0000
In: 0.5000 0.5000 0.5000



This record from Alexandria describes ScCoCuSn after structural relaxation. The functional is GGA-PBE.

Computed properties:
The value obtained for the energy relative to the elements is -0.3188 eV/atom.

a b c (Å): 4.4657 4.4657 4.4657
angles (deg): 60.00 60.00 60.00
Sites, in units of the cell vectors:
Sc: 0.2500 0.2500 0.2500
Co: 0.0000 0.0000 0.0000
Sn: 0.7500 0.7500 0.7500
Cu: 0.5000 0.5000 0.5000



This record from Alexandria describes DyPuPb after structural relaxation. The functional is GGA-PBE.

Computed properties:
Its energy above the most stable polymorph in this dataset is 224 meV per atom. The value obtained for the energy relative to the elements is -0.0761 eV/atom.

a b c (Å): 3.5240 5.3475 5.3475
angles (deg): 120.00 90.00 90.00
Sites, in units of the cell vectors:
Pb: 0.0356 0.0000 0.0000
Dy: 0.2678 0.6667 0.3333
Pu: 0.6966 0.3333 0.6667



This record from Alexandria describes TaTl3N after structural relaxation. The functional is GGA-PBE.

Computed properties:
Its energy above the most stable polymorph in this dataset is 0 meV per atom. The raw formation energy is 1405 meV per atom.

a b c (Å): 4.8047 4.8047 4.8047
angles (deg): 90.00 90.00 90.00
Sites, in units of the cell vectors:
Tl: 0.0000 0.5000 0.0000
Tl: 0.0000 0.0000 0.5000
Tl: 0.5000 0.0000 0.0000
N: 0.0000 0.0000 0.0000
Ta: 0.5000 0.5000 0.5000



This record from Alexandria describes Ga8Cu3W2 after structural relaxation. The functional is GGA-PBE.

Computed properties:
The value obtained for the energy relative to the elements is -0.1101 eV/atom.

a b c (Å): 10.4329 10.4329 10.4329
angles (deg): 109.47 109.47 109.47
Sites, in units of the cell vectors:
Ga: 0.0000 0.2087 0.5000
Ga: 0.0120 0.0010 0.7684
Ga: 0.2435 0.7316 0.7326
Ga: 0.7326 0.2435 0.7316
Ga: 0.4891 0.7565 0.9880
Ga: 0.2326 0.2316 0.7435
Ga: 0.9891 0.4880 0.2565
Ga: 0.7435 0.2326 0.2316
Ga: 0.5000 0.0000 0.7087
Ga: 0.9880 0.4891 0.7565
Ga: 0.7087 0.5000 0.0000
Ga: 0.4990 0.5109 0.7674
Ga: 0.9990 0.2674 0.0109
Ga: 0.5109 0.7674 0.4990
Ga: 0.0010 0.7684 0.0120
Ga: 0.4880 0.2565 0.9891
Ga: 0.0109 0.9990 0.2674
Ga: 0.5120 0.2684 0.5010
Ga: 0.2316 0.7435 0.2326
Ga: 0.7316 0.7326 0.2435
Ga: 0.7674 0.4990 0.5109
Ga: 0.0000 0.7087 0.5000
Ga: 0.7684 0.0120 0.0010
Ga: 0.2684 0.5010 0.5120
Ga: 0.2913 0.2913 0.2913
Ga: 0.7913 0.7913 0.7913
Ga: 0.2674 0.0109 0.9990
Ga: 0.5000 0.0000 0.2087
Ga: 0.2565 0.9891 0.4880
Ga: 0.7565 0.9880 0.4891
Ga: 0.2087 0.5000 0.0000
Ga: 0.5010 0.5120 0.2684
Cu: 0.2300 0.4800 0.7500
Cu: 0.7500 0.5200 0.7700
Cu: 0.2500 0.9800 0.7300
Cu: 0.7500 0.2300 0.4800
Cu: 0.9800 0.7300 0.2500
Cu: 0.4800 0.7500 0.2300
Cu: 0.7700 0.7500 0.5200
Cu: 0.0200 0.2500 0.2700
Cu: 0.7300 0.2500 0.9800
Cu: 0.5200 0.7700 0.7500
Cu: 0.2500 0.2700 0.0200
Cu: 0.2700 0.0200 0.2500
W: 0.5000 0.0000 0.4569
W: 0.5431 0.5431 0.5431
W: 0.9569 0.5000 0.0000
W: 0.0000 0.9569 0.5000
W: 0.4569 0.5000 0.0000
W: 0.5000 0.0000 0.9569
W: 0.0431 0.0431 0.0431
W: 0.0000 0.4569 0.5000



This record from Alexandria describes CaCuCBr after structural relaxation. The functional is GGA-PBE.

Computed properties:
Its energy above the most stable polymorph in this dataset is 20 meV per atom. The raw formation energy is 44 meV per atom.

a b c (Å): 3.5537 3.5537 6.8205
angles (deg): 90.00 90.00 120.00
Sites, in units of the cell vectors:
C: 0.0000 0.0000 0.1488
Ca: 0.6667 0.3333 0.3885
Cu: 0.3333 0.6667 0.0801
Br: 0.3333 0.6667 0.6782



This record from Alexandria describes GaFeSiHN after structural relaxation. The functional is GGA-PBE.

Computed properties:
Its energy above the most stable polymorph in this dataset is 355 meV per atom.

a b c (Å): 4.1563 2.6795 10.3302
angles (deg): 90.00 96.41 90.00
Sites, in units of the cell vectors:
Ga: 0.8939 0.0000 0.3899
Ga: 0.8939 0.5000 0.8899
Fe: 0.2565 0.0000 0.7506
Fe: 0.2565 0.5000 0.2506
Si: 0.7462 0.0000 0.6179
Si: 0.7462 0.5000 0.1179
H: 0.3595 0.0000 0.3570
H: 0.3595 0.5000 0.8570
N: 0.4823 0.0000 0.1320
N: 0.4823 0.5000 0.6320



This record from Alexandria describes Ca2Pm2Nd after structural relaxation. The functional is GGA-PBE.

Computed properties:
The value obtained for the energy relative to the elements is 0.3678 eV/atom.

a b c (Å): 4.7117 4.7117 9.2541
angles (deg): 104.75 104.75 90.00
Sites, in units of the cell vectors:
Ca: 0.7500 0.2500 0.5000
Ca: 0.2500 0.7500 0.5000
Pm: 0.4113 0.4113 0.8226
Pm: 0.5887 0.5887 0.1774
Nd: 0.0000 0.0000 0.0000



This record from Alexandria describes RbTcAg3 after structural relaxation. The functional is GGA-PBE.

Computed properties:
Its energy above the most stable polymorph in this dataset is 0 meV per atom. The value obtained for the energy relative to the elements is 0.9088 eV/atom.

a b c (Å): 5.3408 5.3408 5.3408
angles (deg): 90.00 90.00 90.00
Sites, in units of the cell vectors:
Rb: 0.5000 0.5000 0.5000
Tc: 0.0000 0.0000 0.0000
Ag: 0.0000 0.5000 0.0000
Ag: 0.0000 0.0000 0.5000
Ag: 0.5000 0.0000 0.0000



Ordered magnetization results: 0.00; 1.41; 2.73; 0.00; 0.00; 6.76; 1.71; 0.00; 0.81; 3.60; 0.00; 3.22; unit μB per cell.